Entry 1:
This record from the Alexandria database describes a geometry-optimized MgNbCu structure. The functional is PBE. Values from VASP.

Values from the calculation:
E above lowest polymorph	0.0733	eV per atom
formation energy from the elements	0.35	eV/f.u.
density	5.9	g cm⁻³
calculated volume	16.91	Å³ per atom
uncorrected energy	-5.1371	eV/atom
space-group type	Pnma

Geometry as Quantum ESPRESSO input:
```
&SYSTEM
  ibrav = 0, nat = 12, ntyp = 3
/
ATOMIC_SPECIES
Mg 24.30 Mg.upf
Nb 92.91 Nb.upf
Cu 63.55 Cu.upf
CELL_PARAMETERS angstrom
6.2849 0.0000 0.0000
0.0000 3.0102 0.0000
0.0000 0.0000 10.7243
ATOMIC_POSITIONS angstrom
Mg 0.7209 0.7526 1.1080
Mg 2.4215 2.2577 6.4701
Mg 3.8634 0.7526 4.2542
Mg 5.5640 2.2577 9.6163
Nb 0.6442 0.7526 4.4116
Nb 2.4983 2.2577 9.7738
Nb 3.7866 0.7526 0.9505
Nb 5.6407 2.2577 6.3127
Cu 0.8903 0.7526 8.0791
Cu 2.2521 2.2577 2.7169
Cu 4.0328 0.7526 8.0074
Cu 5.3946 2.2577 2.6452
```


Entry 2:
This record from the Alexandria database describes a geometry-optimized LiMoOs2 structure. The functional is PBE. Values from VASP.

Values from the calculation:
E above lowest polymorph	0.2933	eV per atom
formation energy from the elements	1.68	eV/f.u.
density	14.6	g cm⁻³
calculated volume	13.70	Å³ per atom
uncorrected energy	-8.3805	eV/atom
space-group type	P4mm

Geometry as Quantum ESPRESSO input:
```
&SYSTEM
  ibrav = 0, nat = 4, ntyp = 3
/
ATOMIC_SPECIES
Li 6.94 Li.upf
Mo 95.94 Mo.upf
Os 190.23 Os.upf
CELL_PARAMETERS angstrom
3.0719 0.0000 0.0000
0.0000 3.0719 0.0000
0.0000 0.0000 5.8081
ATOMIC_POSITIONS angstrom
Li 0.0000 0.0000 0.0000
Mo 1.5359 1.5359 1.3816
Os 0.0000 0.0000 2.9069
Os 1.5359 1.5359 4.6387
```


Entry 3:
This record from the Alexandria database describes a geometry-optimized TaVCrSb structure. The functional is PBE. Values from VASP.

Values from the calculation:
uncorrected formation energy	0.07	eV per atom
density	10.6	g cm⁻³
calculated volume	15.89	Å³ per atom
uncorrected energy	-8.6067	eV/atom
space-group type	F-43m

Geometry as Quantum ESPRESSO input:
```
&SYSTEM
  ibrav = 0, nat = 4, ntyp = 4
/
ATOMIC_SPECIES
Ta 180.95 Ta.upf
V 50.94 V.upf
Cr 52.00 Cr.upf
Sb 121.76 Sb.upf
CELL_PARAMETERS angstrom
0.0000 3.1675 3.1675
3.1675 0.0000 3.1675
3.1675 3.1675 0.0000
ATOMIC_POSITIONS angstrom
Ta 0.0000 0.0000 0.0000
V 1.5838 1.5838 1.5838
Cr 4.7513 4.7513 4.7513
Sb 3.1675 3.1675 3.1675
```